Tb15Dy4Y: relaxed, PBE.

Geometry as extended XYZ:
```
20
Lattice="5.034 0.000 0.000 0.000 5.034 0.000 0.000 0.000 25.166" Properties=species:S:1:pos:R:3 pbc="T T T"
Tb 0.000 0.000 0.000
Tb 0.000 0.000 5.038
Tb 0.000 0.000 10.068
Tb 0.000 0.000 15.098
Tb 0.000 0.000 20.129
Tb 0.000 2.517 2.528
Tb 0.000 2.517 7.552
Tb 0.000 2.517 12.583
Tb 0.000 2.517 17.614
Tb 0.000 2.517 22.638
Tb 2.517 0.000 2.528
Tb 2.517 0.000 7.552
Tb 2.517 0.000 12.583
Tb 2.517 0.000 17.614
Tb 2.517 0.000 22.638
Dy 2.517 2.517 5.037
Dy 2.517 2.517 10.068
Dy 2.517 2.517 15.099
Dy 2.517 2.517 20.129
Y 2.517 2.517 0.000
```

## Properties
Formation energy from the elements ... 0.017 eV per atom


PbF3: relaxed, PBE.

Geometry as extended XYZ:
```
4
Lattice="-1.830 1.830 5.501 1.830 -1.830 5.501 1.830 1.830 -5.501" Properties=species:S:1:pos:R:3 pbc="T T T"
Pb 0.000 0.000 0.000
F 0.000 0.000 2.085
F 0.000 0.000 5.501
F 0.000 0.000 8.917
```

## Properties
Formation energy (no corrections) ... -1.6114 eV per atom


NaTiTe3Rh: relaxed, PBE.

Geometry as extended XYZ:
```
12
Lattice="8.154 0.000 0.000 0.000 3.782 0.000 -3.682 0.000 9.924" Properties=species:S:1:pos:R:3 pbc="T T T"
Na 1.147 0.946 2.079
Na 3.325 2.837 7.844
Ti -0.732 2.837 6.685
Ti 5.204 0.946 3.239
Te -0.892 2.837 3.765
Te -1.477 2.837 9.379
Te 1.214 0.946 6.289
Te 3.258 2.837 3.634
Te 5.948 0.946 0.544
Te 5.364 0.946 6.159
Rh 0.206 0.946 8.742
Rh 4.266 2.837 1.181
```

## Properties
Formation energy (no corrections) ... -0.6334 eV per atom


SbTe2Rh: relaxed, PBE.

Geometry as extended XYZ:
```
4
Lattice="-2.508 2.508 3.687 2.508 -2.508 3.687 2.508 2.508 -3.687" Properties=species:S:1:pos:R:3 pbc="T T T"
Sb 0.000 0.000 0.000
Te 2.508 0.000 1.844
Te 0.000 0.000 3.687
Rh 0.000 2.508 1.844
```

## Properties
Formation energy (no corrections) ... 0.3795 eV per atom


CaSi4Pt6: relaxed, PBE.

Geometry as extended XYZ:
```
11
Lattice="-3.377 3.377 4.264 3.377 -3.377 4.264 3.377 3.377 -4.264" Properties=species:S:1:pos:R:3 pbc="T T T"
Ca 0.000 0.000 0.000
Si 2.003 2.003 -1.291
Si 1.374 -1.374 5.554
Si 1.374 1.374 2.973
Si -1.374 1.374 5.554
Pt 3.377 0.000 0.000
Pt 1.021 -1.021 3.118
Pt 2.355 2.355 1.146
Pt 0.000 3.377 0.000
Pt -1.021 1.021 3.118
Pt 1.021 1.021 5.410
```

## Properties
Formation energy (no corrections) ... -0.6725 eV per atom


TmMgAs2Rh5: relaxed, PBE.

Geometry as extended XYZ:
```
9
Lattice="4.182 0.000 0.000 0.000 4.182 0.000 0.000 0.000 8.465" Properties=species:S:1:pos:R:3 pbc="T T T"
Tm 0.000 0.000 0.000
Mg 0.000 0.000 4.232
As 2.091 2.091 1.247
As 2.091 2.091 7.217
Rh 0.000 2.091 2.381
Rh 0.000 2.091 6.083
Rh 2.091 0.000 2.381
Rh 2.091 0.000 6.083
Rh 2.091 2.091 4.232
```

## Properties
Formation energy from the elements ... -0.608 eV per atom